No. 1
## Mn2CuIr (GGA-PBE)

Data for crystalline Mn2CuIr at its relaxed geometry.

Calculated values
magnetic moment = 7.858 Bohr magnetons per cell
N(E_F) = 4.02 states/eV/f.u.
electronic total energy = -7.781 eV per atom

a = 3.016 Å, b = 3.016 Å, c = 6.060 Å
α = 90.00°, β = 90.00°, γ = 90.00°
Fractional coordinates of all 4 atoms:
Mn 0.000 0.000 0.243
Mn 0.000 0.000 0.757
Cu 0.500 0.500 0.000
Ir 0.500 0.500 0.500

***

No. 2
## BeAlTe2N (GGA-PBE)

Data for crystalline BeAlTe2N at its relaxed geometry.

Calculated values
E_form (uncorrected) = 300.7 kJ/mol of formula units
distance to the lowest polymorph of the same formula = 0.299 eV per atom
magnetic moment = 0.000 Bohr magnetons per cell
N(E_F) = 3.39 states/eV/f.u.

a = 5.603 Å, b = 5.603 Å, c = 3.431 Å
α = 90.00°, β = 90.00°, γ = 90.00°
Fractional coordinates of all 5 atoms:
Be 0.000 0.000 0.000
Al 0.500 0.500 0.500
Te 0.000 0.500 0.500
Te 0.500 0.000 0.500
N 0.500 0.500 0.000